{
  "formula": "FeAg4Mo",
  "functional": "GGA-PBE",
  "state": "optimized geometry",
  "lattice_angstrom": [[0.000, 3.774, 3.774], [3.774, 0.000, 3.774], [3.774, 3.774, 0.000]],
  "species": ["Fe", "Ag", "Ag", "Ag", "Ag", "Mo"],
  "frac_coords": [[0.000, 0.000, 0.000], [0.375, 0.375, 0.375], [0.375, 0.375, 0.875], [0.375, 0.875, 0.375], [0.875, 0.375, 0.375], [0.750, 0.750, 0.750]],
  "space_group": "F-43m (216)",
  "dft_energy_ev_per_atom": -4.3394,
  "dos_at_fermi_per_ev_atom": 0.706
}